Computed, not measured: a relaxed structure of TaAl2Ag at the PBE level of DFT.

Lattice parameters (Å, degrees): 4.836 4.836 4.836 128.63 128.63 75.61
Element x y z (fractional)
Al (0.000, 0.000, 0.000)
Al (0.500, 0.500, 0.000)
Ag (0.750, 0.250, 0.500)
Ta (0.250, 0.750, 0.500)

Summary:
Its magnetization is 0.0 μB per formula unit. The value obtained for the total energy is -21.6 eV per cell. Its space group is No. 139. The value obtained for the formation energy is 0.139 eV per atom.